# 1
## YTiNF2 (PBEsol)

Data for a relaxed structure of YTiNF2.

- theoretical density (g cm⁻³) = 3.90
- DOS(E_F) (states/eV/cell) = 5.4
- formation energy (no corrections) (eV per atom) = -1.55
- final energy (eV per atom) = -7.05

Unit cell a=4.1511 b=4.1511 c=4.6662 alpha=90.00 beta=90.00 gamma=90.00
Last column: magnetic moment on the atom in μB.
Atoms (fractional coordinates):
Y 0.0000 0.0000 0.0000  0.00
N 0.0000 0.0000 0.5000  -0.19
F 0.0000 0.5000 0.0000  0.01
F 0.5000 0.0000 0.0000  0.01
Ti 0.5000 0.5000 0.5000  1.80

---

# 2
## LaCoCu2 (PBEsol)

Data for a relaxed structure of LaCoCu2.

- theoretical density (g cm⁻³) = 8.76
- DOS(E_F) (states/eV/cell) = 1.2
- formation energy (meV per atom) = 112
- final energy (eV per atom) = -5.33

Unit cell a=3.7333 b=3.7333 c=5.1468 alpha=111.27 beta=111.27 gamma=90.00
Atoms (fractional coordinates):
Co 0.0000 0.0000 0.0000
Cu 0.7500 0.2500 0.5000
Cu 0.2500 0.7500 0.5000
La 0.5000 0.5000 0.0000

---

# 3
## ThP2Ru2 (PBEsol)

Data for a relaxed structure of ThP2Ru2.

- theoretical density (g cm⁻³) = 10.27
- DOS(E_F) (states/eV/cell) = 0.1
- formation energy (meV per atom) = -1106
- final energy (eV per atom) = -9.11

Unit cell a=4.1122 b=7.4943 c=10.4073 alpha=90.00 beta=90.00 gamma=90.00
Atoms (fractional coordinates):
Th 0.7500 0.2333 0.8311
Th 0.2500 0.7667 0.1689
Th 0.7500 0.7333 0.6689
Th 0.2500 0.2667 0.3311
P 0.7500 0.4049 0.5295
P 0.2500 0.5951 0.4705
P 0.7500 0.9049 0.9705
P 0.2500 0.0951 0.0295
P 0.7500 0.9702 0.3402
P 0.2500 0.0298 0.6598
P 0.7500 0.4702 0.1598
P 0.2500 0.5298 0.8402
Ru 0.2500 0.3898 0.0492
Ru 0.7500 0.6102 0.9508
Ru 0.2500 0.8898 0.4508
Ru 0.7500 0.1102 0.5492
Ru 0.7500 0.6332 0.3677
Ru 0.2500 0.3668 0.6323
Ru 0.7500 0.1332 0.1323
Ru 0.2500 0.8668 0.8677

---

# 4
## CrCuO4 (PBEsol)

Data for a relaxed structure of CrCuO4.

- theoretical density (g cm⁻³) = 4.36
- DOS(E_F) (states/eV/cell) = 6.3
- formation energy (no corrections) (eV per atom) = -1.30
- final energy (eV per atom) = -7.23

Unit cell a=4.8690 b=4.8690 c=6.2105 alpha=90.00 beta=90.00 gamma=111.82
Last column: magnetic moment on the atom in μB.
Atoms (fractional coordinates):
Cr 0.6435 0.3565 0.2500  -0.03
Cr 0.3565 0.6435 0.7500  -0.03
Cu 0.0000 0.0000 0.5000  0.56
Cu 0.0000 0.0000 0.0000  0.56
O 0.7314 0.7824 0.7500  0.10
O 0.2686 0.2176 0.2500  0.10
O 0.7824 0.7314 0.2500  0.10
O 0.2176 0.2686 0.7500  0.10
O 0.2397 0.7603 0.9639  0.11
O 0.7603 0.2397 0.4639  0.11
O 0.2397 0.7603 0.5361  0.11
O 0.7603 0.2397 0.0361  0.11

---

# 5
## SrLiMg (PBEsol)

Data for a relaxed structure of SrLiMg.

- theoretical density (g cm⁻³) = 2.06
- DOS(E_F) (states/eV/cell) = 2.3
- energy relative to the lowest polymorph listed for this composition (meV per atom) = 37
- formation energy (meV per atom) = 18
- final energy (eV per atom) = -1.82

Unit cell a=3.9162 b=5.3088 c=5.3088 alpha=120.00 beta=90.00 gamma=90.00
Atoms (fractional coordinates):
Sr 0.3332 0.6667 0.3333
Mg 0.8334 0.3333 0.6667
Li 0.8334 0.0000 0.0000

---

# 6
## FeTcAs2Se (PBEsol)

Data for a relaxed structure of FeTcAs2Se.

- theoretical density (g cm⁻³) = 5.81
- DOS(E_F) (states/eV/cell) = 6.9
- formation energy (no corrections) (eV per atom) = 0.96
- final energy (eV per atom) = -5.90

Unit cell a=4.6188 b=4.6188 c=5.1288 alpha=90.00 beta=90.00 gamma=90.00
Last column: magnetic moment on the atom in μB.
Atoms (fractional coordinates):
As 0.0000 0.5000 0.0000  -0.01
As 0.5000 0.0000 0.0000  -0.01
Tc 0.0000 0.0000 0.0000  -0.03
Se 0.0000 0.0000 0.5000  0.03
Fe 0.5000 0.5000 0.5000  3.38

---

# 7
## Cs2CdHg (PBEsol)

Data for a relaxed structure of Cs2CdHg.

- theoretical density (g cm⁻³) = 5.54
- DOS(E_F) (states/eV/cell) = 4.6
- formation energy (meV per atom) = -14
- final energy (eV per atom) = -0.93

Unit cell a=6.2616 b=6.2616 c=6.2616 alpha=60.00 beta=60.00 gamma=60.00
Atoms (fractional coordinates):
Cs 0.2500 0.2500 0.2500
Cs 0.7500 0.7500 0.7500
Hg 0.5000 0.5000 0.5000
Cd 0.0000 0.0000 0.0000

---

# 8
## AlRhBr2 (PBEsol)

Data for a relaxed structure of AlRhBr2.

- theoretical density (g cm⁻³) = 6.52
- DOS(E_F) (states/eV/cell) = 4.0
- energy relative to the lowest polymorph listed for this composition (meV per atom) = 188
- formation energy (no corrections) (eV per atom) = 0.38
- final energy (eV per atom) = -3.61

Unit cell a=3.2676 b=4.7531 c=4.7531 alpha=90.00 beta=90.00 gamma=90.00
Atoms (fractional coordinates):
Rh 0.5000 0.5000 0.5000
Al 0.5000 0.0000 0.0000
Br 0.0000 0.0000 0.5000
Br 0.0000 0.5000 0.0000